Record 1
# InAs (PBE, optimized geometry)
data_InAs
_chemical_formula_sum 'In2 As2'
_cell_length_a 6.8112
_cell_length_b 6.8112
_cell_length_c 6.8112
_cell_angle_alpha 148.83
_cell_angle_beta 141.19
_cell_angle_gamma 50.59
_space_group_name_H-M_alt 'P 1'
_space_group_IT_number 1
_space_group_name_Hall 'P 1'
loop_
_atom_site_label
_atom_site_type_symbol
_atom_site_fract_x
_atom_site_fract_y
_atom_site_fract_z
As1 As 0.4253 0.6753 0.2500
In1 In 0.1552 0.9052 0.7500
In2 In 0.8448 0.0948 0.2500
As2 As 0.5747 0.3247 0.7500
# Calculated formation energy, eV per formula unit: 0.1



Record 2
# In2As (PBE, optimized geometry)
data_In2As
_chemical_formula_sum 'In4 As2'
_cell_length_a 5.7135
_cell_length_b 5.7135
_cell_length_c 6.1388
_cell_angle_alpha 117.73
_cell_angle_beta 117.73
_cell_angle_gamma 90.00
_space_group_name_H-M_alt 'P 1'
_space_group_IT_number 1
_space_group_name_Hall 'P 1'
loop_
_atom_site_label
_atom_site_type_symbol
_atom_site_fract_x
_atom_site_fract_y
_atom_site_fract_z
As1 As 0.0000 0.0000 0.0000
In1 In 0.4392 0.9392 0.8785
In2 In 0.0608 0.5608 0.1215
In3 In 0.6892 0.6892 0.3785
As2 As 0.7500 0.2500 0.5000
In4 In 0.3108 0.3108 0.6215
# Calculated formation energy, eV per formula unit: 0.1



Record 3
# In2As (PBE, optimized geometry)
data_In2As
_chemical_formula_sum 'In4 As2'
_cell_length_a 7.2743
_cell_length_b 7.2743
_cell_length_c 6.9599
_cell_angle_alpha 58.51
_cell_angle_beta 58.51
_cell_angle_gamma 29.88
_space_group_name_H-M_alt 'P 1'
_space_group_IT_number 1
_space_group_name_Hall 'P 1'
loop_
_atom_site_label
_atom_site_type_symbol
_atom_site_fract_x
_atom_site_fract_y
_atom_site_fract_z
In1 In 0.3592 0.3592 0.6508
In2 In 0.6408 0.6408 0.8491
In3 In 0.3592 0.3592 0.1509
As1 As 0.0000 0.0000 0.7501
In4 In 0.6408 0.6408 0.3492
As2 As 0.0000 0.0000 0.2499
# Calculated formation energy, eV per formula unit: 0.2



Record 4
# InAs (PBE, optimized geometry)
data_InAs
_chemical_formula_sum 'In4 As4'
_cell_length_a 7.5530
_cell_length_b 7.5530
_cell_length_c 4.3742
_cell_angle_alpha 90.00
_cell_angle_beta 90.00
_cell_angle_gamma 90.00
_space_group_name_H-M_alt 'P 1'
_space_group_IT_number 1
_space_group_name_Hall 'P 1'
loop_
_atom_site_label
_atom_site_type_symbol
_atom_site_fract_x
_atom_site_fract_y
_atom_site_fract_z
As1 As 0.8198 0.8198 0.5000
In1 In 0.3221 0.3221 0.0000
In2 In 0.1779 0.8221 0.5000
In3 In 0.8221 0.1779 0.5000
In4 In 0.6779 0.6779 0.0000
As2 As 0.1802 0.1802 0.5000
As3 As 0.6802 0.3198 0.0000
As4 As 0.3198 0.6802 0.0000
# Calculated formation energy, eV per formula unit: -0.4



no.,magnetic moment (μB/atom),volume (Å³ per atom)
1,0.000,25.504
2,0.000,25.146
3,0.000,25.727
4,0.000,31.192